Material: TbCeSmCd
Method: DFT, PBE
State: relaxed

Structure (CIF):
```
data_TbCeSmCd
_symmetry_space_group_name_H-M 'F -4 3 m'
_symmetry_Int_Tables_number 216
_symmetry_space_group_name_Hall 'F -4 2 3'
_cell_length_a 7.689
_cell_length_b 7.689
_cell_length_c 7.689
_cell_angle_alpha 90.00
_cell_angle_beta 90.00
_cell_angle_gamma 90.00
loop_
_atom_site_label
_atom_site_type_symbol
_atom_site_fract_x
_atom_site_fract_y
_atom_site_fract_z
_atom_site_occupancy
Tb1 Tb 0.000 0.000 0.000 1
Ce1 Ce 0.250 0.250 0.750 1
Sm1 Sm 0.000 0.000 0.500 1
Cd1 Cd 0.250 0.250 0.250 1
```

The value obtained for the raw total energy is -3.993 eV per atom. The value obtained for the formation energy is 57 meV per atom. As for the crystal system: cubic. For the density of states at the Fermi level, the calculation gives 2.29 states/eV/atom. The total magnetization is 0.96 μB per formula unit.